The following is a DFT calculation (PBE-GGA) of a relaxed structure of HoBPd6.

Results
* size of the total moment: 0.00 μB/f.u.
* raw total energy: -137.19 eV/cell
* formation enthalpy at 0 K: -40.0 kJ per mole of atoms

abc: 5.5953 5.5953 15.1310
angles: 90.00 90.00 120.00
Closest atoms and distances in Å follow each position.
Space group R-3m (No. 166, hexagonal axes)
Inequivalent atoms, fractional coordinates:
Ho 0.0000 0.0000 0.0000  12 Pd 3.09
B 0.0000 0.0000 0.5000  6 Pd 2.06
Pd 0.0124 0.5062 0.9127  1 B 2.06


The following is a DFT calculation (PBE-GGA) of a relaxed structure of TbHo4TmSc2.

Results
* size of the total moment: 0.00 μB/f.u.
* raw total energy: -79.51 eV/cell
* formation enthalpy at 0 K: 3.9 kJ per mole of atoms

abc: 6.9376 6.9467 9.6970
angles: 90.01 90.05 90.06
Closest atoms and distances in Å follow each position.
Space group P-1 (No. 2)
Inequivalent atoms, fractional coordinates:
Tb 0.0000 0.0000 0.0000  2 Sc 3.47, 2 Tm 3.47, 8 Ho 3.48
Tb 0.0000 0.5000 0.5000  8 Ho 3.44, 4 Sc 3.47
Ho 0.2531 0.2478 0.2545  4 Sc 3.40-3.46, 4 Ho 3.43-3.51, 2 Tb 3.44-3.48, 2 Tm 3.48-3.50
Ho 0.2531 0.2477 0.7455  4 Sc 3.40-3.46, 4 Ho 3.43-3.51, 2 Tb 3.44-3.48, 2 Tm 3.48-3.50
Ho 0.2528 0.7528 0.2545  4 Sc 3.40-3.46, 4 Ho 3.43-3.51, 2 Tb 3.44-3.48, 2 Tm 3.48-3.50
Ho 0.2529 0.7528 0.7455  4 Sc 3.40-3.46, 4 Ho 3.43-3.51, 2 Tb 3.44-3.48, 2 Tm 3.48-3.50
Tm 0.0000 0.5000 0.0000  2 Tm 3.47, 2 Tb 3.47, 8 Ho 3.50
Tm 0.5000 0.5000 0.0000  2 Tm 3.47, 2 Sc 3.47, 8 Ho 3.48
Sc 0.0000 0.0000 0.5000  8 Ho 3.42, 2 Sc 3.47, 2 Tb 3.47
Sc 0.5000 0.0000 0.0000  8 Ho 3.46, 2 Tb 3.47, 2 Tm 3.47
Sc 0.5000 0.0000 0.5000  8 Ho 3.40, 4 Sc 3.47
Sc 0.5000 0.5000 0.5000  8 Ho 3.41-3.42, 2 Tb 3.47, 2 Sc 3.47


The following is a DFT calculation (PBE-GGA) of a relaxed structure of PuSb4Rh6.

Results
* raw formation energy: -0.31 eV per atom
* size of the total moment: 5.05 μB/f.u.
* raw total energy: -156.70 eV/cell

abc: 6.7298 6.7298 9.7830
angles: 90.00 90.00 90.00
Closest atoms and distances in Å follow each position.
Space group I-42m (No. 121)
Inequivalent atoms, fractional coordinates:
Pu 0.0000 0.0000 0.0000  4 Sb 3.25, 8 Rh 3.32-3.36
Sb 0.2075 0.2075 0.3285  4 Rh 2.53-2.69
Rh 0.0000 0.5000 0.0000  4 Rh 2.69, 4 Sb 2.94
Rh 0.1664 0.1664 0.6005  4 Sb 2.53-2.69, 2 Rh 2.69


The following is a DFT calculation (PBE-GGA) of a relaxed structure of LaCdCl2.

Results
* raw formation energy: -1.43 eV per atom
* size of the total moment: 0.00 μB/f.u.
* offset from the most stable computed form: 0.00 kcal/mol of atoms
* raw total energy: -15.26 eV/cell

abc: 3.5686 3.5686 9.8061
angles: 90.00 90.00 90.00
Closest atoms and distances in Å follow each position.
Space group P4/mmm (No. 123)
Inequivalent atoms, fractional coordinates:
La 0.0000 0.0000 0.0000  8 Cl 3.00
Cd 0.0000 0.0000 0.5000  4 Cd 3.57
Cl 0.5000 0.5000 0.1661  4 La 3.00, 1 Cl 3.26


The following is a DFT calculation (PBE-GGA) of a relaxed structure of TbPmPr2Sm2.

Results
* size of the total moment: 0.00 μB/f.u.
* raw total energy: -56.08 eV/cell
* formation enthalpy at 0 K: 5.4 kJ per mole of atoms

abc: 7.0974 5.7785 9.9952
angles: 90.00 90.00 90.00
Closest atoms and distances in Å follow each position.
Space group Pmma (No. 51)
Inequivalent atoms, fractional coordinates:
Tb 0.2500 0.0000 0.1634  5 Sm 3.31-3.55
Pm 0.0000 0.5000 0.0000  2 Pm 3.55, 2 Pr 3.73, 4 Tb 3.76, 6 Sm 3.78-3.79
Pr 0.0000 0.0000 0.5000  6 Pr 3.55-3.80, 6 Sm 3.76-3.77, 2 Tb 3.80
Pr 0.2500 0.5000 0.6714  5 Sm 3.31-3.55
Sm 0.2500 0.0000 0.8321  2 Pr 3.31, 3 Tb 3.31-3.55
Sm 0.2500 0.5000 0.3350  2 Tb 3.36, 3 Pr 3.36-3.55


The following is a DFT calculation (PBE-GGA) of a relaxed structure of LiLa4Au2.

Results
* size of the total moment: 0.00 μB/f.u.
* raw total energy: -92.01 eV/cell
* formation enthalpy at 0 K: -34.4 kJ per mole of atoms

abc: 5.3049 5.3049 26.4385
angles: 90.00 90.00 120.00
Closest atoms and distances in Å follow each position.
Space group R-3m (No. 166, hexagonal axes)
Inequivalent atoms, fractional coordinates:
Li 0.0000 0.0000 0.0000  2 Au 2.53
La 0.0000 0.0000 0.2121  4 Au 3.08-3.14
La 0.0000 0.0000 0.3785  3 Li 3.29, 3 Au 3.34, 3 La 3.66
Au 0.0000 0.0000 0.0955  1 Li 2.53


The following is a DFT calculation (PBE-GGA) of a relaxed structure of LiCrCo.

Results
* size of the total moment: 0.00 μB/f.u.
* offset from the most stable computed form: 2.26 kcal/mol of atoms
* raw total energy: -35.08 eV/cell
* formation enthalpy at 0 K: 35.5 kJ per mole of atoms

abc: 2.4297 3.8746 6.9628
angles: 90.00 90.00 90.00
Closest atoms and distances in Å follow each position.
Space group Imm2 (No. 44)
Inequivalent atoms, fractional coordinates:
Li 0.0000 0.0000 0.0000  5 Cr 2.32-2.57, 5 Co 2.37-2.54, 2 Li 2.43
Cr 0.0000 0.0000 0.6672  1 Co 2.28, 1 Li 2.32, 2 Cr 2.43
Co 0.0000 0.0000 0.3399  1 Cr 2.28, 5 Li 2.37-2.54, 2 Co 2.43


The following is a DFT calculation (PBE-GGA) of a relaxed structure of ScNb3Cl.

Results
* raw formation energy: 0.38 eV per atom
* size of the total moment: 0.00 μB/f.u.
* offset from the most stable computed form: 0.00 kcal/mol of atoms
* raw total energy: -36.51 eV/cell

abc: 4.6250 4.6250 4.6250
angles: 90.00 90.00 90.00
Closest atoms and distances in Å follow each position.
Space group Pm-3m (No. 221)
Inequivalent atoms, fractional coordinates:
Sc 0.0000 0.0000 0.0000  12 Nb 3.27
Nb 0.0000 0.5000 0.5000  2 Cl 2.31
Cl 0.5000 0.5000 0.5000  6 Nb 2.31


The following is a DFT calculation (PBE-GGA) of a relaxed structure of Y2TaIn2.

Results
* size of the total moment: 1.31 μB/f.u.
* raw total energy: -60.55 eV/cell
* formation enthalpy at 0 K: -0.3 kJ per mole of atoms

abc: 7.6373 7.6373 4.4076
angles: 90.00 90.00 90.00
Closest atoms and distances in Å follow each position.
Space group P4/mbm (No. 127)
Inequivalent atoms, fractional coordinates:
Y 0.1757 0.3243 0.0000  6 In 3.02-3.25
Ta 0.0000 0.0000 0.5000  4 In 2.98
In 0.1336 0.6336 0.5000  1 In 2.89, 2 Ta 2.98, 2 Y 3.02


The following is a DFT calculation (PBE-GGA) of a relaxed structure of Sc3AgP.

Results
* size of the total moment: 0.00 μB/f.u.
* offset from the most stable computed form: 17.89 kcal/mol of atoms
* raw total energy: -25.49 eV/cell
* formation enthalpy at 0 K: 34.1 kJ per mole of atoms

abc: 5.0687 5.0687 5.0687
angles: 90.00 90.00 90.00
Closest atoms and distances in Å follow each position.
Space group Pm-3m (No. 221)
Inequivalent atoms, fractional coordinates:
Sc 0.0000 0.0000 0.5000  2 Ag 2.53
Ag 0.0000 0.0000 0.0000  6 Sc 2.53
P 0.5000 0.5000 0.5000  12 Sc 3.58


The following is a DFT calculation (PBE-GGA) of a relaxed structure of MnAlFeSi.

Results
* raw formation energy: -0.35 eV per atom
* size of the total moment: 1.52 μB/f.u.
* raw total energy: -28.20 eV/cell

abc: 2.8372 3.9978 4.0153
angles: 90.00 90.00 90.00
Closest atoms and distances in Å follow each position.
Space group Pmmm (No. 47)
Inequivalent atoms, fractional coordinates:
Mn 0.0000 0.0000 0.0000  4 Si 2.45, 4 Al 2.46
Al 0.5000 0.0000 0.5000  4 Fe 2.45, 4 Mn 2.46
Fe 0.0000 0.5000 0.5000  4 Al 2.45, 4 Si 2.46
Si 0.5000 0.5000 0.0000  4 Mn 2.45, 4 Fe 2.46


The following is a DFT calculation (PBE-GGA) of a relaxed structure of Y5Ni2Pd.

Results
* size of the total moment: 0.00 μB/f.u.
* raw total energy: -210.28 eV/cell
* formation enthalpy at 0 K: -42.1 kJ per mole of atoms

abc: 7.5119 7.5119 13.3464
angles: 90.00 90.00 90.00
Closest atoms and distances in Å follow each position.
Space group I4/mcm (No. 140)
Inequivalent atoms, fractional coordinates:
Y 0.0000 0.0000 0.0000  4 Ni 2.97
Y 0.1647 0.3353 0.1398  3 Ni 2.88-2.91, 2 Pd 3.17
Ni 0.1252 0.3748 0.5000  1 Ni 2.66, 8 Y 2.88-2.97
Pd 0.0000 0.0000 0.2500  10 Y 3.17-3.34